Entry 1:
# Ca2SmHoSe4

Crystalline Ca2SmHoSe4 at its relaxed geometry (PBE-GGA, Alexandria).

a b c (Å): 7.1495 4.1260 7.2749
angles (deg): 90.00 109.11 90.00
Sites, in units of the cell vectors:
Ca1 0.0000 0.0000 0.0000
Ca2 0.5000 0.5000 0.0000
Sm1 0.0000 0.5000 0.5000
Ho1 0.5000 0.0000 0.5000
Se1 0.2554 0.0000 0.7502
Se2 0.2561 0.5000 0.2537
Se3 0.7439 0.5000 0.7463
Se4 0.7446 0.0000 0.2498

Results
DOS(E_F) = 0.423 states/eV/atom
SG = P2/m, No. 10

***

Entry 2:
# Zn2Sb2Cl

Crystalline Zn2Sb2Cl at its relaxed geometry (PBE-GGA, Alexandria).

a b c (Å): 8.4398 8.4398 3.1750
angles (deg): 90.00 90.00 90.00
Sites, in units of the cell vectors:
Zn1 0.1548 0.3452 0.0000
Zn2 0.3452 0.8452 0.0000
Zn3 0.6548 0.1548 0.0000
Zn4 0.8452 0.6548 0.0000
Sb1 0.1439 0.6439 0.5000
Sb2 0.3561 0.1439 0.5000
Sb3 0.6439 0.8561 0.5000
Sb4 0.8561 0.3561 0.5000
Cl1 0.0000 0.0000 0.0000
Cl2 0.5000 0.5000 0.0000

Results
DOS(E_F) = 0.390 states/eV/atom
SG = P4/mbm, No. 127
Relative energy among the computed polymorphs = 24 meV per atom

***

Results for total moment: 0.0000; 0.0000 (in μB per atom, following the order of the records).
Results for energy relative to the elements, uncorrected: -1.878; 0.072 (in eV/atom, following the order of the records).